Record 1
RhBr: relaxed, GGA-PBE.

Lattice parameters (Å, degrees): 3.6124 3.6124 7.9523 90.00 90.00 120.00
With the nearest neighbours (Å) after each atom.
Space group P-3m1 (No. 164)
Asymmetric unit:
1 Rh 0.3333 0.6667 0.0993 [2 per cell]  3 Br 2.59, 3 Rh 2.62
2 Br 0.3333 0.6667 0.7078 [2 per cell]  3 Rh 2.59

Computed properties:
Size of the total moment in μB/cell: 1.315
E_form (uncorrected) in kJ per mole of atoms: 22.6
Uncorrected energy in eV/cell: -17.112



Record 2
RhBr: relaxed, GGA-PBE.

Lattice parameters (Å, degrees): 12.5520 3.3927 6.2753 90.00 115.19 90.00
With the nearest neighbours (Å) after each atom.
Space group Cm (No. 8)
Asymmetric unit:
1 Rh 0.0000 0.0000 0.0000 [2 per cell]  3 Rh 2.58-2.66, 4 Br 2.62-2.71
2 Rh 0.0309 0.5000 0.3472 [2 per cell]  1 Br 2.48, 4 Rh 2.60-2.66
3 Rh 0.1936 0.0000 0.3798 [2 per cell]  3 Br 2.49-2.58, 3 Rh 2.58-2.60
4 Br 0.0873 0.5000 0.7763 [2 per cell]  3 Rh 2.48-2.71
5 Br 0.3255 0.0000 0.8092 [2 per cell]  3 Rh 2.49-2.62
6 Br 0.3297 0.5000 0.3086 [2 per cell]  2 Rh 2.58

Computed properties:
Size of the total moment in μB/cell: 0.001
E_form (uncorrected) in kJ per mole of atoms: 23.1
Uncorrected energy in eV/cell: -51.270



Record 3
RuRh2Br: relaxed, GGA-PBE.

Lattice parameters (Å, degrees): 3.8727 3.8727 4.1159 90.00 90.00 90.00
With the nearest neighbours (Å) after each atom.
Space group P4/mmm (No. 123)
Asymmetric unit:
1 Ru 0.0000 0.0000 0.0000 [1 per cell]  4 Br 2.74, 8 Rh 2.83
2 Rh 0.0000 0.5000 0.5000 [2 per cell]  4 Rh 2.74, 4 Br 2.83, 4 Ru 2.83
3 Br 0.5000 0.5000 0.0000 [1 per cell]  4 Ru 2.74, 8 Rh 2.83

Computed properties:
Size of the total moment in μB/cell: 0.000
E_form (uncorrected) in kJ per mole of atoms: 86.1
Uncorrected energy in eV/cell: -22.082



Record 4
RuRhBr2: relaxed, GGA-PBE.

Lattice parameters (Å, degrees): 3.6131 3.6131 23.0003 90.00 90.00 120.00
With the nearest neighbours (Å) after each atom.
Space group R-3m (No. 166, hexagonal axes)
Asymmetric unit:
1 Ru 0.0000 0.0000 0.0000 [3 per cell]  6 Br 2.52
2 Rh 0.0000 0.0000 0.5000 [3 per cell]  2 Br 2.42
3 Br 0.0000 0.0000 0.3950 [6 per cell]  1 Rh 2.42, 3 Ru 2.52

Computed properties:
Size of the total moment in μB/cell: 2.445
E_form (uncorrected) in kJ per mole of atoms: 60.5
Uncorrected energy in eV/cell: -52.397



Record 5
Ru4RhBr: relaxed, GGA-PBE.

Lattice parameters (Å, degrees): 7.2997 7.2997 7.2997 90.00 90.00 90.00
With the nearest neighbours (Å) after each atom.
Space group F-43m (No. 216)
Asymmetric unit:
1 Ru 0.1244 0.1244 0.3756 [16 per cell]  6 Ru 2.57-2.59
2 Rh 0.2500 0.2500 0.7500 [4 per cell]  12 Ru 3.03, 4 Br 3.16
3 Br 0.0000 0.0000 0.0000 [4 per cell]  12 Ru 3.03, 4 Rh 3.16

Computed properties:
Size of the total moment in μB/cell: 13.377
E_form (uncorrected) in kJ per mole of atoms: 101.9
Uncorrected energy in eV/cell: -159.157



Record 6
RuRhBr2: relaxed, GGA-PBE.

Lattice parameters (Å, degrees): 3.0510 5.7456 8.4911 90.00 90.00 90.00
With the nearest neighbours (Å) after each atom.
Space group Cmmm (No. 65)
Asymmetric unit:
1 Ru 0.0000 0.0000 0.0000 [2 per cell]  4 Br 2.57
2 Rh 0.0000 0.0000 0.5000 [2 per cell]  4 Br 2.66
3 Br 0.0000 0.5000 0.2437 [4 per cell]  2 Ru 2.57, 2 Rh 2.66

Computed properties:
Size of the total moment in μB/cell: 0.012
E_form (uncorrected) in kJ per mole of atoms: 78.0
Uncorrected energy in eV/cell: -33.477



Record 7
Ru2RhBr: relaxed, GGA-PBE.

Lattice parameters (Å, degrees): 4.0561 4.0561 7.4207 90.00 90.00 90.00
With the nearest neighbours (Å) after each atom.
Space group I-4m2 (No. 119)
Asymmetric unit:
1 Ru 0.0000 0.0000 0.0000 [2 per cell]  4 Br 2.75, 4 Ru 2.75, 4 Rh 2.87
2 Ru 0.0000 0.5000 0.2500 [2 per cell]  4 Ru 2.75, 4 Rh 2.75, 4 Br 2.87
3 Rh 0.0000 0.0000 0.5000 [2 per cell]  4 Br 2.75, 8 Ru 2.75-2.87
4 Br 0.0000 0.5000 0.7500 [2 per cell]  8 Ru 2.75-2.87, 4 Rh 2.75

Computed properties:
Size of the total moment in μB/cell: 0.000
E_form (uncorrected) in kJ per mole of atoms: 85.4
Uncorrected energy in eV/cell: -48.067



Record 8
RuRhBr2: relaxed, GGA-PBE.

Lattice parameters (Å, degrees): 4.5881 4.5881 3.2575 90.00 90.00 90.00
With the nearest neighbours (Å) after each atom.
Space group P4/mmm (No. 123)
Asymmetric unit:
1 Ru 0.0000 0.0000 0.0000 [1 per cell]  8 Br 2.81
2 Rh 0.5000 0.5000 0.0000 [1 per cell]  8 Br 2.81
3 Br 0.0000 0.5000 0.5000 [2 per cell]  4 Ru 2.81, 4 Rh 2.81

Computed properties:
Size of the total moment in μB/cell: 1.049
E_form (uncorrected) in kJ per mole of atoms: 84.5
Uncorrected energy in eV/cell: -16.470



Record 9
Ru2RhBr: relaxed, GGA-PBE.

Lattice parameters (Å, degrees): 2.8717 2.8717 7.6013 90.00 90.00 90.00
With the nearest neighbours (Å) after each atom.
Space group P4mm (No. 99)
Asymmetric unit:
1 Ru 0.0000 0.0000 0.0000 [1 per cell]  8 Ru 2.63-2.87, 4 Rh 2.74
2 Ru 0.5000 0.5000 0.2203 [1 per cell]  8 Ru 2.63-2.87, 4 Br 2.82
3 Rh 0.5000 0.5000 0.7574 [1 per cell]  4 Ru 2.74, 4 Rh 2.87, 4 Br 2.94
4 Br 0.0000 0.0000 0.4775 [1 per cell]  4 Ru 2.82, 4 Br 2.87, 4 Rh 2.94

Computed properties:
Size of the total moment in μB/cell: 0.002
E_form (uncorrected) in kJ per mole of atoms: 54.0
Uncorrected energy in eV/cell: -25.338



Record 10
Ru2RhBr: relaxed, GGA-PBE.

Lattice parameters (Å, degrees): 5.9424 5.9424 9.6495 90.00 90.00 90.00
With the nearest neighbours (Å) after each atom.
Space group I-42d (No. 122)
Asymmetric unit:
1 Ru 0.2410 0.2500 0.1250 [8 per cell]  2 Rh 2.39, 2 Br 2.46
2 Rh 0.0000 0.0000 0.0000 [4 per cell]  4 Ru 2.39
3 Br 0.0000 0.0000 0.5000 [4 per cell]  4 Ru 2.46

Computed properties:
Size of the total moment in μB/cell: 0.000
E_form (uncorrected) in kJ per mole of atoms: 111.5
Uncorrected energy in eV/cell: -91.817



Record 11
RuRh2Br: relaxed, GGA-PBE.

Lattice parameters (Å, degrees): 2.8550 2.8550 7.7884 90.00 90.00 90.00
With the nearest neighbours (Å) after each atom.
Space group P4/mmm (No. 123)
Asymmetric unit:
1 Ru 0.0000 0.0000 0.0000 [1 per cell]  8 Rh 2.69, 4 Ru 2.85
2 Rh 0.5000 0.5000 0.2274 [2 per cell]  4 Ru 2.69, 4 Rh 2.85, 4 Br 2.93
3 Br 0.0000 0.0000 0.5000 [1 per cell]  4 Br 2.85, 8 Rh 2.93

Computed properties:
Size of the total moment in μB/cell: 0.000
E_form (uncorrected) in kJ per mole of atoms: 46.7
Uncorrected energy in eV/cell: -23.717



Record 12
RuRhBr2: relaxed, GGA-PBE.

Lattice parameters (Å, degrees): 6.5030 6.5030 6.5030 90.00 90.00 90.00
With the nearest neighbours (Å) after each atom.
Space group Fm-3m (No. 225)
Asymmetric unit:
1 Ru 0.0000 0.0000 0.0000 [4 per cell]  8 Br 2.82
2 Rh 0.0000 0.0000 0.5000 [4 per cell]  8 Br 2.82
3 Br 0.2500 0.2500 0.2500 [8 per cell]  4 Ru 2.82, 4 Rh 2.82

Computed properties:
Size of the total moment in μB/cell: 5.136
E_form (uncorrected) in kJ per mole of atoms: 83.6
Uncorrected energy in eV/cell: -66.036



Record 13
Ru2RhBr: relaxed, GGA-PBE.

Lattice parameters (Å, degrees): 5.9473 7.1123 2.8724 90.00 90.00 90.00
With the nearest neighbours (Å) after each atom.
Space group Cmmm (No. 65)
Asymmetric unit:
1 Ru 0.2500 0.2500 0.0000 [4 per cell]  4 Br 2.73, 4 Rh 2.73, 4 Ru 2.87-2.97
2 Rh 0.0000 0.0000 0.5000 [2 per cell]  8 Ru 2.73, 2 Rh 2.87, 2 Br 2.97
3 Br 0.0000 0.5000 0.5000 [2 per cell]  8 Ru 2.73, 2 Br 2.87, 2 Rh 2.97

Computed properties:
Size of the total moment in μB/cell: 0.000
E_form (uncorrected) in kJ per mole of atoms: 81.1
Uncorrected energy in eV/cell: -48.424



Record 14
Ru2RhBr: relaxed, GGA-PBE.

Lattice parameters (Å, degrees): 2.8337 4.6425 4.6928 90.00 90.00 90.00
With the nearest neighbours (Å) after each atom.
Space group Pmmm (No. 47)
Asymmetric unit:
1 Ru 0.0000 0.0000 0.0000 [1 per cell]  6 Ru 2.72-2.83, 4 Br 2.74
2 Ru 0.5000 0.5000 0.0000 [1 per cell]  6 Ru 2.72-2.83, 4 Rh 2.74
3 Rh 0.0000 0.5000 0.5000 [1 per cell]  4 Br 2.72, 4 Ru 2.74, 2 Rh 2.83
4 Br 0.5000 0.0000 0.5000 [1 per cell]  4 Rh 2.72, 4 Ru 2.74, 2 Br 2.83

Computed properties:
Size of the total moment in μB/cell: 0.000
E_form (uncorrected) in kJ per mole of atoms: 83.9
Uncorrected energy in eV/cell: -24.098



Record 15
Ru2RhBr: relaxed, GGA-PBE.

Lattice parameters (Å, degrees): 2.8131 4.9214 9.2236 90.00 90.00 90.00
With the nearest neighbours (Å) after each atom.
Space group Cmmm (No. 65)
Asymmetric unit:
1 Ru 0.0000 0.0000 0.2420 [4 per cell]  2 Rh 2.64, 2 Br 2.76, 6 Ru 2.81-2.83
2 Rh 0.0000 0.5000 0.0000 [2 per cell]  4 Ru 2.64, 6 Rh 2.81-2.83
3 Br 0.0000 0.5000 0.5000 [2 per cell]  4 Ru 2.76, 6 Br 2.81-2.83

Computed properties:
Size of the total moment in μB/cell: 3.826
E_form (uncorrected) in kJ per mole of atoms: 84.5
Uncorrected energy in eV/cell: -48.147